# VSiAgH2

VSiAgH2 after structural relaxation (PBE, the Alexandria database).

```
5
Lattice="3.483 0.000 0.000 0.000 5.479 0.000 0.000 0.000 3.483" Properties=species:S:1:pos:R:3 pbc="T T T"
H 0.000 0.000 1.742
H 1.742 0.000 0.000
Si 0.000 2.740 0.000
Ag 0.000 0.000 0.000
V 1.742 2.740 1.742
```

Output
Its space group is P4/mmm, No. 123.


# Y2SiAgH

Y2SiAgH after structural relaxation (PBE, the Alexandria database).

```
5
Lattice="4.978 0.000 0.000 0.000 3.769 0.000 0.000 0.000 4.978" Properties=species:S:1:pos:R:3 pbc="T T T"
Y 0.000 0.000 2.489
Y 2.489 0.000 0.000
H 0.000 0.000 0.000
Si 0.000 1.884 0.000
Ag 2.489 1.884 2.489
```

Output
Its space group is P4/mmm, No. 123.


# Sm4Ag2H

Sm4Ag2H after structural relaxation (PBE, the Alexandria database).

```
7
Lattice="4.783 0.000 0.000 0.000 4.783 0.000 -2.392 -2.392 7.730" Properties=species:S:1:pos:R:3 pbc="T T T"
H 0.000 0.000 0.000
Ag 2.392 2.392 2.017
Ag 0.000 0.000 5.713
Sm 2.391 2.391 4.906
Sm 0.000 0.000 2.824
Sm 0.000 2.392 0.000
Sm 2.392 0.000 0.000
```

Output
Its space group is I4/mmm, No. 139.


# SmAgH

SmAgH after structural relaxation (PBE, the Alexandria database).

```
6
Lattice="3.346 0.000 0.000 0.000 3.346 0.000 -1.673 -1.673 9.990" Properties=species:S:1:pos:R:3 pbc="T T T"
H 1.673 1.673 5.859
H 0.000 0.000 4.131
Ag 0.000 0.000 1.379
Ag 1.673 1.673 8.611
Sm 1.673 1.673 3.573
Sm 0.000 0.000 6.417
```

Output
Its space group is I4/mmm, No. 139.


| no. | calculated density (Mg/m³) | electronic total energy (eV/cell) |
| --- | --- | --- |
| 1 | 4.72 | -21.29 |
| 2 | 5.60 | -25.94 |
| 3 | 7.68 | -29.07 |
| 4 | 7.70 | -23.10 |